A geometry-optimized Pu2HgTe structure, computed with PBE.

Summary:
distance to the lowest polymorph of the same formula	0.000	eV/f.u.
E	-34.152	eV/cell
E_form (uncorrected)	-49.3	kJ/mol of atoms

a b c (Å): 5.1881 5.1881 3.9751
angles (deg): 90.00 90.00 90.00
Closest atoms and distances in Å follow each position.
Space group P4/mmm (No. 123)
Inequivalent atoms, fractional coordinates:
1 Pu 0.0000 0.5000 0.0000 x2  4 Hg 3.27, 4 Te 3.27
2 Hg 0.0000 0.0000 0.5000 x1  8 Pu 3.27
3 Te 0.5000 0.5000 0.5000 x1  8 Pu 3.27



A geometry-optimized Hf2CoH structure, computed with PBE.

Summary:
distance to the lowest polymorph of the same formula	0.000	eV/f.u.
E	-127.550	eV/cell

a b c (Å): 13.0994 3.2836 6.0631
angles (deg): 90.00 117.10 90.00
Closest atoms and distances in Å follow each position.
Space group C2/m (No. 12)
Inequivalent atoms, fractional coordinates:
1 Hf 0.0017 0.0000 0.2505 x4  2 H 2.03
2 Hf 0.2219 0.5000 0.7237 x4  2 H 2.06
3 Co 0.1163 0.5000 0.1125 x4  6 Hf 2.50-2.61, 1 Co 2.71
4 H 0.1150 0.0000 0.6152 x4  4 Hf 2.03-2.06



A geometry-optimized K3ZnCd structure, computed with PBE.

Summary:
distance to the lowest polymorph of the same formula	0.000	eV/f.u.
E	-4.412	eV/cell
formation energy from the elements	0.214	eV/atom

a b c (Å): 6.4613 6.4613 6.4613
angles (deg): 90.00 90.00 90.00
Closest atoms and distances in Å follow each position.
Space group Pm-3m (No. 221)
Inequivalent atoms, fractional coordinates:
1 K 0.0000 0.0000 0.5000 x3  2 Zn 3.23
2 Zn 0.0000 0.0000 0.0000 x1  6 K 3.23
3 Cd 0.5000 0.5000 0.5000 x1  12 K 4.57



A geometry-optimized Cd2GaBi structure, computed with PBE.

Summary:
distance to the lowest polymorph of the same formula	0.044	eV/f.u.
E	-33.554	eV/cell
formation energy from the elements	0.087	eV/atom

a b c (Å): 7.4268 7.4268 7.4268
angles (deg): 90.00 90.00 90.00
Closest atoms and distances in Å follow each position.
Space group Fm-3m (No. 225)
Inequivalent atoms, fractional coordinates:
1 Cd 0.2500 0.2500 0.2500 x8  4 Bi 3.22, 4 Ga 3.22
2 Ga 0.0000 0.0000 0.0000 x4  8 Cd 3.22
3 Bi 0.0000 0.0000 0.5000 x4  8 Cd 3.22